No. 1
A relaxed ReW3 crystal. Source: the Alexandria database, functional GGA-PBE.

```
data_ReW3
_chemical_formula_sum 'Re2 W6'
_symmetry_space_group_name_H-M 'P m m n'
_symmetry_Int_Tables_number 59
_cell_length_a 4.720
_cell_length_b 5.253
_cell_length_c 5.214
_cell_angle_alpha 90.00
_cell_angle_beta 90.00
_cell_angle_gamma 90.00
loop_
_symmetry_equiv_pos_as_xyz
'x,y,z'
'-x,-y,-z'
'-x+1/2,-y+1/2,z'
'x+1/2,y+1/2,-z'
'x+1/2,-y,-z'
'-x+1/2,y,z'
'-x,y+1/2,-z'
'x,-y+1/2,z'
loop_
_atom_site_label
_atom_site_fract_x
_atom_site_fract_y
_atom_site_fract_z
_atom_site_occupancy
Re1 0.250 0.250 0.162 1
W1 0.250 0.004 0.654 1
W2 0.250 0.750 0.143 1
```

Calculated values
Crystal system: orthorhombic
Energy relative to the elements: 1.40 eV/f.u.

***

No. 2
A relaxed BeCu3Bi crystal. Source: the Alexandria database, functional GGA-PBE.

```
data_BeCu3Bi
_chemical_formula_sum 'Be1 Cu3 Bi1'
_symmetry_space_group_name_H-M 'P m -3 m'
_symmetry_Int_Tables_number 221
_symmetry_space_group_name_Hall '-P 4 2 3'
_cell_length_a 5.004
_cell_length_b 5.004
_cell_length_c 5.004
_cell_angle_alpha 90.00
_cell_angle_beta 90.00
_cell_angle_gamma 90.00
loop_
_atom_site_label
_atom_site_fract_x
_atom_site_fract_y
_atom_site_fract_z
_atom_site_occupancy
Be1 0.000 0.000 0.000 1
Cu1 0.000 0.500 0.500 1
Bi1 0.500 0.500 0.500 1
```

Calculated values
Crystal system: cubic
Energy relative to the elements: 6.38 eV/f.u.

***

No. 3
A relaxed Nd2HoMg2In2 crystal. Source: the Alexandria database, functional GGA-PBE.

```
data_Nd2HoMg2In2
_chemical_formula_sum 'Nd6 Ho3 Mg6 In6'
_symmetry_space_group_name_H-M 'R -3 m'
_symmetry_Int_Tables_number 166
_symmetry_space_group_name_Hall '-R 3 2"'
_cell_length_a 5.0136
_cell_length_b 5.0136
_cell_length_c 26.8890
_cell_angle_alpha 90.00
_cell_angle_beta 90.00
_cell_angle_gamma 120.00
loop_
_atom_site_label
_atom_site_fract_x
_atom_site_fract_y
_atom_site_fract_z
_atom_site_occupancy
Nd1 0.0000 0.0000 0.1284 1
Ho1 0.0000 0.0000 0.0000 1
Mg1 0.0000 0.0000 0.3952 1
In1 0.0000 0.0000 0.2660 1
```

Calculated values
Crystal system: trigonal
Energy relative to the elements: -1.71 eV/f.u.

***

No. 4
A relaxed LaGaHg2 crystal. Source: the Alexandria database, functional GGA-PBE.

```
data_LaGaHg2
_chemical_formula_sum 'La8 Ga8 Hg16'
_symmetry_space_group_name_H-M 'C m c m'
_symmetry_Int_Tables_number 63
_symmetry_space_group_name_Hall '-C 2c 2'
_cell_length_a 4.630
_cell_length_b 17.846
_cell_length_c 9.711
_cell_angle_alpha 90.00
_cell_angle_beta 90.00
_cell_angle_gamma 90.00
loop_
_atom_site_label
_atom_site_fract_x
_atom_site_fract_y
_atom_site_fract_z
_atom_site_occupancy
La1 0.000 0.000 0.000 1
La2 0.000 0.205 0.250 1
Ga1 0.000 0.354 0.528 1
Hg1 0.000 0.191 0.596 1
Hg2 0.000 0.403 0.250 1
Hg3 0.000 0.441 0.750 1
```

Calculated values
Crystal system: orthorhombic
Energy relative to the elements: -1.72 eV/f.u.